Record 1
A relaxed structure of ZrTaMo2. Source: the Alexandria database, functional PBE.

Properties
Its symmetry is Fm-3m (225). The value obtained for the energy above the lowest structure with this stoichiometry is 18 meV/atom.

a b c (Å): 6.5686 6.5686 6.5686
angles (deg): 90.00 90.00 90.00
Last column: nearest neighbours and their distance in Å.
Atoms (fractional coordinates):
Zr1 0.0000 0.0000 0.0000  8 Mo 2.84
Zr2 0.0000 0.5000 0.5000  8 Mo 2.84
Zr3 0.5000 0.0000 0.5000  8 Mo 2.84
Zr4 0.5000 0.5000 0.0000  8 Mo 2.84
Ta1 0.0000 0.0000 0.5000  8 Mo 2.84
Ta2 0.0000 0.5000 0.0000  8 Mo 2.84
Ta3 0.5000 0.0000 0.0000  8 Mo 2.84
Ta4 0.5000 0.5000 0.5000  8 Mo 2.84
Mo1 0.2500 0.2500 0.2500  4 Zr 2.84, 4 Ta 2.84
Mo2 0.2500 0.2500 0.7500  4 Zr 2.84, 4 Ta 2.84
Mo3 0.2500 0.7500 0.2500  4 Zr 2.84, 4 Ta 2.84
Mo4 0.2500 0.7500 0.7500  4 Zr 2.84, 4 Ta 2.84
Mo5 0.7500 0.2500 0.2500  4 Zr 2.84, 4 Ta 2.84
Mo6 0.7500 0.2500 0.7500  4 Zr 2.84, 4 Ta 2.84
Mo7 0.7500 0.7500 0.2500  4 Zr 2.84, 4 Ta 2.84
Mo8 0.7500 0.7500 0.7500  4 Ta 2.84, 4 Zr 2.84

***

Record 2
A relaxed structure of La2Cd2Ga. Source: the Alexandria database, functional PBE.

Properties
Its symmetry is P4/mbm (127). The value obtained for the energy above the lowest structure with this stoichiometry is 100 meV/atom.

a b c (Å): 8.9457 8.9457 3.8323
angles (deg): 90.00 90.00 90.00
Last column: nearest neighbours and their distance in Å.
Atoms (fractional coordinates):
La1 0.1778 0.3222 0.0000  6 Cd 3.19-3.32, 2 Ga 3.29
La2 0.3222 0.8222 0.0000  6 Cd 3.19-3.32, 2 Ga 3.29
La3 0.6778 0.1778 0.0000  6 Cd 3.19-3.32, 2 Ga 3.29
La4 0.8222 0.6778 0.0000  6 Cd 3.19-3.32, 2 Ga 3.29
Cd1 0.1201 0.6201 0.5000  1 Cd 3.04, 6 La 3.19-3.32
Cd2 0.3799 0.1201 0.5000  1 Cd 3.04, 6 La 3.19-3.32
Cd3 0.6201 0.8799 0.5000  1 Cd 3.04, 6 La 3.19-3.32
Cd4 0.8799 0.3799 0.5000  1 Cd 3.04, 6 La 3.19-3.32
Ga1 0.0000 0.0000 0.0000  4 La 3.29
Ga2 0.5000 0.5000 0.0000  4 La 3.29

***

Record 3
A relaxed structure of Sr2TiGaBi. Source: the Alexandria database, functional PBE.

Properties
Its symmetry is P4/mmm (123). As for the total DFT energy (no corrections): -15.274 eV for the cell shown.

a b c (Å): 6.0118 6.0118 5.4281
angles (deg): 90.00 90.00 90.00
Last column: nearest neighbours and their distance in Å.
Atoms (fractional coordinates):
Sr1 0.0000 0.5000 0.0000  2 Ga 3.01
Sr2 0.5000 0.0000 0.0000  2 Ga 3.01
Ti1 0.0000 0.0000 0.5000  8 Sr 4.05, 4 Bi 4.25
Ga1 0.5000 0.5000 0.0000  2 Bi 2.71, 4 Sr 3.01
Bi1 0.5000 0.5000 0.5000  2 Ga 2.71

***

Copy entry 3 word for word.
A relaxed structure of Sr2TiGaBi. Source: the Alexandria database, functional PBE.

Properties
Its symmetry is P4/mmm (123). As for the total DFT energy (no corrections): -15.274 eV for the cell shown.

a b c (Å): 6.0118 6.0118 5.4281
angles (deg): 90.00 90.00 90.00
Last column: nearest neighbours and their distance in Å.
Atoms (fractional coordinates):
Sr1 0.0000 0.5000 0.0000  2 Ga 3.01
Sr2 0.5000 0.0000 0.0000  2 Ga 3.01
Ti1 0.0000 0.0000 0.5000  8 Sr 4.05, 4 Bi 4.25
Ga1 0.5000 0.5000 0.0000  2 Bi 2.71, 4 Sr 3.01
Bi1 0.5000 0.5000 0.5000  2 Ga 2.71